# 1
CdTcNiPd2 | PBE-GGA | relaxed

Cell: 4.6041 4.6041 4.6707 Å, 90.00 90.00 90.00°
Atoms (fractional coordinates):
Cd: 0.0000 0.0000 0.0000
Tc: 0.5000 0.5000 0.0000
Ni: 0.0000 0.0000 0.5000
Pd: 0.0000 0.5000 0.5000
Pd: 0.5000 0.0000 0.5000

Summary:
SG	P4/mmm
energy	-4.40	eV/atom
total moment	4.53	μB per cell
ΔH_f (0 K)	1.092	eV/atom



# 2
TiCdNiPd | PBE-GGA | relaxed

Cell: 6.2877 6.2877 6.2877 Å, 90.00 90.00 90.00°
Atoms (fractional coordinates):
Ti: 0.0000 0.0000 0.0000
Ti: 0.0000 0.5000 0.5000
Ti: 0.5000 0.0000 0.5000
Ti: 0.5000 0.5000 0.0000
Cd: 0.0000 0.0000 0.5000
Cd: 0.0000 0.5000 0.0000
Cd: 0.5000 0.0000 0.0000
Cd: 0.5000 0.5000 0.5000
Ni: 0.2500 0.2500 0.7500
Ni: 0.2500 0.7500 0.2500
Ni: 0.7500 0.2500 0.2500
Ni: 0.7500 0.7500 0.7500
Pd: 0.2500 0.2500 0.2500
Pd: 0.2500 0.7500 0.7500
Pd: 0.7500 0.2500 0.7500
Pd: 0.7500 0.7500 0.2500

Summary:
SG	F-43m
energy	-5.24	eV/atom
total moment	0.00	μB per cell
ΔH_f (0 K)	-0.291	eV/atom



# 3
YCdNiPd | PBE-GGA | relaxed

Cell: 6.6743 6.6743 6.6743 Å, 90.00 90.00 90.00°
Atoms (fractional coordinates):
Y: 0.0000 0.0000 0.0000
Y: 0.0000 0.5000 0.5000
Y: 0.5000 0.0000 0.5000
Y: 0.5000 0.5000 0.0000
Cd: 0.0000 0.0000 0.5000
Cd: 0.0000 0.5000 0.0000
Cd: 0.5000 0.0000 0.0000
Cd: 0.5000 0.5000 0.5000
Ni: 0.2500 0.2500 0.7500
Ni: 0.2500 0.7500 0.2500
Ni: 0.7500 0.2500 0.2500
Ni: 0.7500 0.7500 0.7500
Pd: 0.2500 0.2500 0.2500
Pd: 0.2500 0.7500 0.7500
Pd: 0.7500 0.2500 0.7500
Pd: 0.7500 0.7500 0.2500

Summary:
SG	F-43m
energy	-5.05	eV/atom
total moment	0.00	μB per cell
ΔH_f (0 K)	-0.464	eV/atom



# 4
Pm12Cd6Ni | PBE-GGA | relaxed

Cell: 8.4210 8.4210 8.4210 Å, 94.68 94.68 94.68°
Atoms (fractional coordinates):
Pm: 0.0389 0.7009 0.9295
Pm: 0.0705 0.9611 0.2991
Pm: 0.1846 0.5206 0.4079
Pm: 0.2991 0.0705 0.9611
Pm: 0.4079 0.1846 0.5206
Pm: 0.4794 0.5921 0.8154
Pm: 0.5206 0.4079 0.1846
Pm: 0.5921 0.8154 0.4794
Pm: 0.7009 0.9295 0.0389
Pm: 0.8154 0.4794 0.5921
Pm: 0.9295 0.0389 0.7009
Pm: 0.9611 0.2991 0.0705
Cd: 0.1586 0.3583 0.7600
Cd: 0.2400 0.8414 0.6417
Cd: 0.3583 0.7600 0.1586
Cd: 0.6417 0.2400 0.8414
Cd: 0.7600 0.1586 0.3583
Cd: 0.8414 0.6417 0.2400
Ni: 0.5000 0.5000 0.5000

Summary:
SG	R-3
energy	-3.69	eV/atom
total moment	0.00	μB per cell
ΔH_f (0 K)	-0.094	eV/atom



# 5
Pm7Cd2Ni2 | PBE-GGA | relaxed

Cell: 6.9434 6.9434 7.2051 Å, 90.00 90.00 109.83°
Atoms (fractional coordinates):
Pm: 0.0000 0.0000 0.0000
Pm: 0.0000 0.5000 0.2478
Pm: 0.0000 0.5000 0.7522
Pm: 0.5000 0.0000 0.2478
Pm: 0.5000 0.0000 0.7522
Pm: 0.5000 0.5000 0.2377
Pm: 0.5000 0.5000 0.7623
Cd: 0.1735 0.1735 0.5000
Cd: 0.8265 0.8265 0.5000
Ni: 0.2967 0.7033 0.0000
Ni: 0.7033 0.2967 0.0000

Summary:
SG	Cmmm
polymorph energy (0 for the lowest one)	3.1	kJ per mole of atoms
energy	-4.37	eV/atom
total moment	0.00	μB per cell
ΔH_f (0 K)	-0.129	eV/atom



# 6
Pm2Cd2Ni15 | PBE-GGA | relaxed

Cell: 6.4289 6.4289 6.4289 Å, 83.06 83.06 83.06°
Atoms (fractional coordinates):
Pm: 0.1489 0.1489 0.1489
Pm: 0.8511 0.8511 0.8511
Cd: 0.3952 0.3952 0.3952
Cd: 0.6048 0.6048 0.6048
Ni: 0.0000 0.5000 0.5000
Ni: 0.1534 0.1534 0.6610
Ni: 0.1534 0.6610 0.1534
Ni: 0.1960 0.5000 0.8040
Ni: 0.1960 0.8040 0.5000
Ni: 0.3390 0.8466 0.8466
Ni: 0.5000 0.0000 0.5000
Ni: 0.5000 0.1960 0.8040
Ni: 0.5000 0.5000 0.0000
Ni: 0.5000 0.8040 0.1960
Ni: 0.6610 0.1534 0.1534
Ni: 0.8040 0.1960 0.5000
Ni: 0.8040 0.5000 0.1960
Ni: 0.8466 0.3390 0.8466
Ni: 0.8466 0.8466 0.3390

Summary:
SG	R-3m
energy	-5.29	eV/atom
total moment	4.04	μB per cell
ΔH_f (0 K)	-0.133	eV/atom



# 7
Pm2CdNi | PBE-GGA | relaxed

Cell: 7.3376 7.3376 7.3376 Å, 90.00 90.00 90.00°
Atoms (fractional coordinates):
Pm: 0.2500 0.2500 0.2500
Pm: 0.2500 0.2500 0.7500
Pm: 0.2500 0.7500 0.2500
Pm: 0.2500 0.7500 0.7500
Pm: 0.7500 0.2500 0.2500
Pm: 0.7500 0.2500 0.7500
Pm: 0.7500 0.7500 0.2500
Pm: 0.7500 0.7500 0.7500
Cd: 0.0000 0.0000 0.0000
Cd: 0.0000 0.5000 0.5000
Cd: 0.5000 0.0000 0.5000
Cd: 0.5000 0.5000 0.0000
Ni: 0.0000 0.0000 0.5000
Ni: 0.0000 0.5000 0.0000
Ni: 0.5000 0.0000 0.0000
Ni: 0.5000 0.5000 0.5000

Summary:
SG	Fm-3m
polymorph energy (0 for the lowest one)	9.0	kJ per mole of atoms
energy	-4.25	eV/atom
total moment	0.00	μB per cell
ΔH_f (0 K)	-0.198	eV/atom



# 8
Pm2CdNi2 | PBE-GGA | relaxed

Cell: 7.4501 7.4501 3.8471 Å, 90.00 90.00 90.00°
Atoms (fractional coordinates):
Pm: 0.1774 0.3226 0.0000
Pm: 0.3226 0.8226 0.0000
Pm: 0.6774 0.1774 0.0000
Pm: 0.8226 0.6774 0.0000
Cd: 0.0000 0.0000 0.5000
Cd: 0.5000 0.5000 0.5000
Ni: 0.1162 0.6162 0.5000
Ni: 0.3838 0.1162 0.5000
Ni: 0.6162 0.8838 0.5000
Ni: 0.8838 0.3838 0.5000

Summary:
SG	P4/mbm
polymorph energy (0 for the lowest one)	1.3	kJ per mole of atoms
energy	-4.77	eV/atom
total moment	0.00	μB per cell
ΔH_f (0 K)	-0.378	eV/atom



# 9
Pm12CdNi6 | PBE-GGA | relaxed

Cell: 8.6392 8.6392 8.6392 Å, 109.47 109.47 109.47°
Atoms (fractional coordinates):
Pm: 0.1196 0.3057 0.8139
Pm: 0.1861 0.4918 0.3057
Pm: 0.1861 0.8804 0.6943
Pm: 0.3057 0.1861 0.4918
Pm: 0.3057 0.8139 0.1196
Pm: 0.4918 0.3057 0.1861
Pm: 0.5082 0.6943 0.8139
Pm: 0.6943 0.1861 0.8804
Pm: 0.6943 0.8139 0.5082
Pm: 0.8139 0.1196 0.3057
Pm: 0.8139 0.5082 0.6943
Pm: 0.8804 0.6943 0.1861
Cd: 0.0000 0.0000 0.0000
Ni: 0.1217 0.5000 0.6217
Ni: 0.3783 0.8783 0.5000
Ni: 0.5000 0.3783 0.8783
Ni: 0.5000 0.6217 0.1217
Ni: 0.6217 0.1217 0.5000
Ni: 0.8783 0.5000 0.3783

Summary:
SG	Im-3
energy	-5.14	eV/atom
total moment	0.00	μB per cell
ΔH_f (0 K)	-0.266	eV/atom



# 10
PmCd4Ni | PBE-GGA | relaxed

Cell: 8.4662 8.4662 5.3254 Å, 108.32 108.32 48.93°
Atoms (fractional coordinates):
Pm: 0.2067 0.2067 0.2063
Pm: 0.7933 0.7933 0.7937
Cd: 0.1153 0.6597 0.3882
Cd: 0.1956 0.8044 0.0000
Cd: 0.3384 0.3384 0.8374
Cd: 0.3403 0.8847 0.6118
Cd: 0.6597 0.1153 0.3882
Cd: 0.6616 0.6616 0.1626
Cd: 0.8044 0.1956 0.0000
Cd: 0.8847 0.3403 0.6118
Ni: 0.4996 0.4996 0.2737
Ni: 0.5004 0.5004 0.7263

Summary:
SG	C2/m
polymorph energy (0 for the lowest one)	9.9	kJ per mole of atoms
energy	-2.48	eV/atom
total moment	0.00	μB per cell
ΔH_f (0 K)	-0.111	eV/atom



# 11
Pm7Cd2Ni2 | PBE-GGA | relaxed

Cell: 9.5838 9.5838 9.5838 Å, 157.66 73.90 110.64°
Atoms (fractional coordinates):
Pm: 0.0000 0.0000 0.0000
Pm: 0.0903 0.7235 0.3668
Pm: 0.3422 0.5219 0.8203
Pm: 0.3567 0.7235 0.6332
Pm: 0.6454 0.3070 0.3384
Pm: 0.7015 0.5219 0.1797
Pm: 0.9686 0.3070 0.6616
Cd: 0.4746 0.9746 0.5000
Cd: 0.6998 0.6998 0.0000
Ni: 0.2140 0.0296 0.1844
Ni: 0.8452 0.0296 0.8156

Summary:
SG	Imm2
polymorph energy (0 for the lowest one)	0.0	kJ per mole of atoms
energy	-4.40	eV/atom
total moment	0.00	μB per cell
ΔH_f (0 K)	-0.161	eV/atom



# 12
Pm2CdNi2 | PBE-GGA | relaxed

Cell: 3.9846 14.3621 3.8268 Å, 90.00 90.00 90.00°
Atoms (fractional coordinates):
Pm: 0.0000 0.1369 0.0000
Pm: 0.0000 0.8631 0.0000
Pm: 0.5000 0.3631 0.0000
Pm: 0.5000 0.6369 0.0000
Cd: 0.0000 0.5000 0.5000
Cd: 0.5000 0.0000 0.5000
Ni: 0.0000 0.2985 0.5000
Ni: 0.0000 0.7015 0.5000
Ni: 0.5000 0.2015 0.5000
Ni: 0.5000 0.7985 0.5000

Summary:
SG	Cmmm
polymorph energy (0 for the lowest one)	0.0	kJ per mole of atoms
energy	-4.79	eV/atom
total moment	0.00	μB per cell
ΔH_f (0 K)	-0.391	eV/atom



# 13
Pm2CdNi | PBE-GGA | relaxed

Cell: 3.3687 3.3687 31.7191 Å, 90.00 90.00 120.00°
Atoms (fractional coordinates):
Pm: 0.0000 0.0000 0.0807
Pm: 0.0000 0.0000 0.9193
Pm: 0.3333 0.6667 0.5860
Pm: 0.3333 0.6667 0.7473
Pm: 0.6667 0.3333 0.2527
Pm: 0.6667 0.3333 0.4140
Cd: 0.0000 0.0000 0.5000
Cd: 0.3333 0.6667 0.1667
Cd: 0.6667 0.3333 0.8333
Ni: 0.0000 0.0000 0.0000
Ni: 0.3333 0.6667 0.6667
Ni: 0.6667 0.3333 0.3333

Summary:
SG	R-3m
polymorph energy (0 for the lowest one)	62.1	kJ per mole of atoms
energy	-3.70	eV/atom
total moment	0.00	μB per cell
ΔH_f (0 K)	0.353	eV/atom



# 14
PmCd9Ni2 | PBE-GGA | relaxed

Cell: 9.0000 9.0000 9.0000 Å, 99.76 99.76 131.36°
Atoms (fractional coordinates):
Pm: 0.3750 0.6250 0.7500
Pm: 0.6250 0.3750 0.2500
Cd: 0.1250 0.8750 0.2500
Cd: 0.1286 0.5613 0.3250
Cd: 0.1286 0.8036 0.5673
Cd: 0.1964 0.2637 0.3250
Cd: 0.1964 0.8714 0.9327
Cd: 0.2637 0.1964 0.8250
Cd: 0.2637 0.4387 0.0673
Cd: 0.4387 0.2637 0.5673
Cd: 0.4387 0.8714 0.1750
Cd: 0.5613 0.1286 0.8250
Cd: 0.5613 0.7363 0.4327
Cd: 0.7363 0.5613 0.9327
Cd: 0.7363 0.8036 0.1750
Cd: 0.8036 0.1286 0.0673
Cd: 0.8036 0.7363 0.6750
Cd: 0.8714 0.1964 0.4327
Cd: 0.8714 0.4387 0.6750
Cd: 0.8750 0.1250 0.7500
Ni: 0.0000 0.0000 0.0000
Ni: 0.0000 0.0000 0.5000
Ni: 0.0000 0.5000 0.0000
Ni: 0.5000 0.0000 0.5000

Summary:
SG	I4_1/amd
energy	-2.12	eV/atom
total moment	0.00	μB per cell
ΔH_f (0 K)	-0.079	eV/atom



# 15
Pm4Cd5Ni2 | PBE-GGA | relaxed

Cell: 7.7537 3.6712 9.6077 Å, 90.00 93.75 90.00°
Atoms (fractional coordinates):
Pm: 0.1655 0.0000 0.3454
Pm: 0.2236 0.0000 0.9456
Pm: 0.7764 0.0000 0.0544
Pm: 0.8345 0.0000 0.6546
Cd: 0.1848 0.5000 0.6517
Cd: 0.4478 0.5000 0.1812
Cd: 0.5000 0.5000 0.5000
Cd: 0.5522 0.5000 0.8188
Cd: 0.8152 0.5000 0.3483
Ni: 0.0643 0.5000 0.1294
Ni: 0.9357 0.5000 0.8706

Summary:
SG	P2/m
energy	-3.52	eV/atom
total moment	0.00	μB per cell
ΔH_f (0 K)	-0.326	eV/atom



# 16
Pm4CdNi2 | PBE-GGA | relaxed

Cell: 6.8815 6.9491 8.8142 Å, 107.85 107.50 103.05°
Atoms (fractional coordinates):
Pm: 0.0000 0.0000 0.0000
Pm: 0.0208 0.5216 0.0436
Pm: 0.0430 0.7565 0.5949
Pm: 0.3210 0.1618 0.4546
Pm: 0.4434 0.6144 0.8681
Pm: 0.4695 0.6825 0.4478
Pm: 0.5976 0.2671 0.1755
Pm: 0.8884 0.2295 0.5896
Cd: 0.5574 0.0980 0.7891
Cd: 0.7903 0.8319 0.2544
Ni: 0.0535 0.3634 0.3340
Ni: 0.2275 0.2181 0.8573
Ni: 0.3917 0.8821 0.1864
Ni: 0.7417 0.5520 0.7097

Summary:
SG	P1
energy	-4.72	eV/atom
total moment	0.00	μB per cell
ΔH_f (0 K)	-0.222	eV/atom



# 17
Pm7Cd2Ni | PBE-GGA | relaxed

Cell: 7.7370 7.7370 7.7370 Å, 60.00 60.00 60.00°
Atoms (fractional coordinates):
Pm: 0.0000 0.0000 0.0000
Pm: 0.2609 0.2609 0.7391
Pm: 0.2609 0.7391 0.2609
Pm: 0.2609 0.7391 0.7391
Pm: 0.7391 0.2609 0.2609
Pm: 0.7391 0.2609 0.7391
Pm: 0.7391 0.7391 0.2609
Cd: 0.2500 0.2500 0.2500
Cd: 0.7500 0.7500 0.7500
Ni: 0.5000 0.5000 0.5000

Summary:
SG	Fm-3m
energy	-3.84	eV/atom
total moment	0.00	μB per cell
ΔH_f (0 K)	0.248	eV/atom



# 18
Pm6Cd2Ni | PBE-GGA | relaxed

Cell: 7.4157 7.2964 12.4860 Å, 90.00 125.65 90.00°
Atoms (fractional coordinates):
Pm: 0.1730 0.0000 0.2559
Pm: 0.1730 0.5000 0.7559
Pm: 0.2921 0.2442 0.5420
Pm: 0.2921 0.2558 0.0420
Pm: 0.2967 0.7471 0.0424
Pm: 0.2967 0.7529 0.5424
Pm: 0.7034 0.2471 0.4576
Pm: 0.7034 0.2529 0.9576
Pm: 0.7079 0.7442 0.9580
Pm: 0.7079 0.7558 0.4580
Pm: 0.8270 0.0000 0.7441
Pm: 0.8270 0.5000 0.2441
Cd: 0.2598 0.5024 0.2564
Cd: 0.2598 0.9976 0.7564
Cd: 0.7402 0.0024 0.2436
Cd: 0.7402 0.4976 0.7436
Ni: 0.0000 0.0000 0.0000
Ni: 0.0000 0.5000 0.5000

Summary:
SG	P2_1/c
energy	-4.13	eV/atom
total moment	0.00	μB per cell
ΔH_f (0 K)	-0.122	eV/atom



# 19
Pm3CdNi2 | PBE-GGA | relaxed

Cell: 3.4965 3.4965 11.4381 Å, 90.00 90.00 90.00°
Atoms (fractional coordinates):
Pm: 0.0000 0.0000 0.0000
Pm: 0.0000 0.0000 0.3005
Pm: 0.0000 0.0000 0.6995
Cd: 0.5000 0.5000 0.5000
Ni: 0.5000 0.5000 0.1571
Ni: 0.5000 0.5000 0.8429

Summary:
SG	P4/mmm
energy	-4.73	eV/atom
total moment	0.00	μB per cell
ΔH_f (0 K)	-0.274	eV/atom



# 20
Pm4CdNi | PBE-GGA | relaxed

Cell: 8.2348 8.2348 6.0744 Å, 102.49 102.49 114.60°
Atoms (fractional coordinates):
Pm: 0.0705 0.7003 0.9255
Pm: 0.1943 0.3389 0.6489
Pm: 0.2997 0.9295 0.5745
Pm: 0.3389 0.1943 0.1489
Pm: 0.6611 0.8057 0.8511
Pm: 0.7003 0.0705 0.4255
Pm: 0.8057 0.6611 0.3511
Pm: 0.9295 0.2997 0.0745
Cd: 0.3823 0.6177 0.2500
Cd: 0.6177 0.3823 0.7500
Ni: 0.0017 0.9983 0.7500
Ni: 0.9983 0.0017 0.2500

Summary:
SG	C2/c
polymorph energy (0 for the lowest one)	9.4	kJ per mole of atoms
energy	-4.44	eV/atom
total moment	0.00	μB per cell
ΔH_f (0 K)	-0.158	eV/atom